Entry 1:
Density functional theory data (PBE-GGA) for a relaxed structure of La2In4Te.

- Energy relative to the elements, uncorrected: 0.124 eV per atom

Lattice parameters (Å, degrees): 5.7178 5.7178 16.0848 90.00 90.00 90.00
Space group I4/mmm (No. 139)
One atom of each set of equivalent atoms:
La1 0.0000 0.0000 0.1187 (multiplicity 4)
In1 0.0000 0.0000 0.3202 (multiplicity 4)
In2 0.0000 0.5000 0.0000 (multiplicity 4)
Te1 0.0000 0.0000 0.5000 (multiplicity 2)

=====

Entry 2:
Density functional theory data (PBE-GGA) for a relaxed structure of Cd5InAg4.

- Energy of formation from the pure elements: -0.010 eV per atom
- Energy above the most stable polymorph in this dataset: 0 meV per atom

Lattice parameters (Å, degrees): 5.1669 6.1071 6.9682 76.03 73.31 77.35
Space group P-1 (No. 2)
One atom of each set of equivalent atoms:
Cd1 0.0000 0.0000 0.0000 (multiplicity 1)
Cd2 0.2052 0.3041 0.5915 (multiplicity 2)
Cd3 0.4011 0.0979 0.2045 (multiplicity 2)
In1 0.0000 0.5000 0.0000 (multiplicity 1)
Ag1 0.1997 0.7999 0.5968 (multiplicity 2)
Ag2 0.4003 0.6018 0.1980 (multiplicity 2)

=====

Entry 3:
Density functional theory data (PBE-GGA) for a relaxed structure of TmTiMn4.

- Energy of formation from the pure elements: -0.057 eV per atom

Lattice parameters (Å, degrees): 6.9547 6.9547 6.9547 90.00 90.00 90.00
Space group F-43m (No. 216)
One atom of each set of equivalent atoms:
Tm1 0.0000 0.0000 0.0000 (multiplicity 4)
Ti1 0.2500 0.2500 0.2500 (multiplicity 4)
Mn1 0.1244 0.1244 0.6244 (multiplicity 16)

=====

Entry 4:
Density functional theory data (PBE-GGA) for a relaxed structure of Ag12Hg3Te5.

- Energy relative to the elements, uncorrected: 0.091 eV per atom

Lattice parameters (Å, degrees): 16.3549 16.3549 16.3549 90.00 90.00 90.00
Space group Ia-3d (No. 230)
One atom of each set of equivalent atoms:
Ag1 0.0081 0.0746 0.6534 (multiplicity 96)
Hg1 0.0000 0.2500 0.1250 (multiplicity 24)
Te1 0.0000 0.0000 0.0000 (multiplicity 16)
Te2 0.0000 0.2500 0.3750 (multiplicity 24)

=====

Entry 5:
Density functional theory data (PBE-GGA) for a relaxed structure of Y5Al2Se2.

- Energy relative to the elements, uncorrected: -0.965 eV per atom

Lattice parameters (Å, degrees): 14.9900 7.7272 7.7660 90.00 90.00 90.00
Space group Cmce (No. 64)
One atom of each set of equivalent atoms:
Y1 0.0000 0.0000 0.0000 (multiplicity 4)
Y2 0.1396 0.1697 0.3365 (multiplicity 16)
Al1 0.0000 0.1231 0.6215 (multiplicity 8)
Se1 0.1988 0.0000 0.0000 (multiplicity 8)

=====

Entry 6:
Density functional theory data (PBE-GGA) for a relaxed structure of YPbS2.

- Energy relative to the elements, uncorrected: -0.999 eV per atom

Lattice parameters (Å, degrees): 6.7093 6.7093 11.7312 90.00 90.00 90.00
Space group I-42d (No. 122)
One atom of each set of equivalent atoms:
Y1 0.0000 0.0000 0.0000 (multiplicity 4)
Pb1 0.0000 0.0000 0.5000 (multiplicity 4)
S1 0.2047 0.2500 0.1250 (multiplicity 8)

=====

Entry 7:
Density functional theory data (PBE-GGA) for a relaxed structure of CrCuGe2I.

- Energy relative to the elements, uncorrected: 0.626 eV per atom

Lattice parameters (Å, degrees): 4.7742 4.7742 5.0651 90.00 90.00 90.00
Space group P4/mmm (No. 123)
One atom of each set of equivalent atoms:
Cr1 0.0000 0.0000 0.0000 (multiplicity 1)
Cu1 0.0000 0.0000 0.5000 (multiplicity 1)
Ge1 0.0000 0.5000 0.0000 (multiplicity 2)
I1 0.5000 0.5000 0.5000 (multiplicity 1)

=====

Entry 8:
Density functional theory data (PBE-GGA) for a relaxed structure of Tl2H2Cl.

- VASP energy: -26.8 eV per cell

Lattice parameters (Å, degrees): 6.7515 3.8807 7.8564 90.00 94.14 90.00
Space group C2/m (No. 12)
One atom of each set of equivalent atoms:
Tl1 0.1477 0.0000 0.2227 (multiplicity 4)
H1 0.1925 0.0000 0.8249 (multiplicity 4)
Cl1 0.0000 0.5000 0.5000 (multiplicity 2)

=====

Entry 9:
Density functional theory data (PBE-GGA) for a relaxed structure of MgNi4Te.

- Energy relative to the elements, uncorrected: -0.038 eV per atom

Lattice parameters (Å, degrees): 6.9250 6.9250 6.9250 90.00 90.00 90.00
Space group F-43m (No. 216)
One atom of each set of equivalent atoms:
Mg1 0.0000 0.0000 0.0000 (multiplicity 4)
Ni1 0.1255 0.1255 0.6255 (multiplicity 16)
Te1 0.2500 0.2500 0.2500 (multiplicity 4)

=====

Entry 10:
Density functional theory data (PBE-GGA) for a relaxed structure of SiPbW3.

- Energy relative to the elements, uncorrected: 1.367 eV per atom
- Energy above the most stable polymorph in this dataset: 0 meV per atom

Lattice parameters (Å, degrees): 4.5792 4.5792 4.5792 90.00 90.00 90.00
Space group Pm-3m (No. 221)
One atom of each set of equivalent atoms:
Si1 0.0000 0.0000 0.0000 (multiplicity 1)
Pb1 0.5000 0.5000 0.5000 (multiplicity 1)
W1 0.0000 0.0000 0.5000 (multiplicity 3)

=====

Entry 11:
Density functional theory data (PBE-GGA) for a relaxed structure of DyHo2F11.

- Energy relative to the elements, uncorrected: -3.465 eV per atom

Lattice parameters (Å, degrees): 8.3198 10.1891 11.0978 90.00 90.00 90.00
Space group Ibam (No. 72)
One atom of each set of equivalent atoms:
Dy1 0.0000 0.0000 0.2500 (multiplicity 4)
Ho1 0.1590 0.3105 0.0000 (multiplicity 8)
F1 0.0000 0.5000 0.0000 (multiplicity 4)
F2 0.1021 0.1707 0.1427 (multiplicity 16)
F3 0.1094 0.3053 0.5000 (multiplicity 8)
F4 0.2067 0.0764 0.3661 (multiplicity 16)

=====

Entry 12:
Density functional theory data (PBE-GGA) for a relaxed structure of PmGaGePd.

- Energy of formation from the pure elements: -0.681 eV per atom
- Energy above the most stable polymorph in this dataset: 0 meV per atom

Lattice parameters (Å, degrees): 4.3386 4.3386 15.5279 90.00 90.00 120.00
Space group R3m (No. 160, hexagonal axes)
One atom of each set of equivalent atoms:
Pm1 0.0000 0.0000 0.0000 (multiplicity 3)
Ga1 0.0000 0.0000 0.5426 (multiplicity 3)
Ge1 0.0000 0.0000 0.7851 (multiplicity 3)
Pd1 0.0000 0.0000 0.1953 (multiplicity 3)

=====

Entry 13:
Density functional theory data (PBE-GGA) for a relaxed structure of ThPtS.

- Energy relative to the elements, uncorrected: -1.425 eV per atom

Lattice parameters (Å, degrees): 4.6096 4.6096 23.0060 90.00 90.00 120.00
Space group R-3m (No. 166, hexagonal axes)
One atom of each set of equivalent atoms:
Th1 0.0000 0.0000 0.0804 (multiplicity 6)
Pt1 0.0000 0.0000 0.3341 (multiplicity 6)
S1 0.0000 0.0000 0.2083 (multiplicity 6)

=====

Entry 14:
Density functional theory data (PBE-GGA) for a relaxed structure of Nd3SmHg3.

- Energy of formation from the pure elements: -0.312 eV per atom

Lattice parameters (Å, degrees): 10.7202 10.8711 7.3200 90.00 90.00 90.00
Space group Cmmm (No. 65)
One atom of each set of equivalent atoms:
Nd1 0.0000 0.2451 0.0000 (multiplicity 4)
Nd2 0.2383 0.0000 0.5000 (multiplicity 4)
Nd3 0.2420 0.0000 0.0000 (multiplicity 4)
Sm1 0.0000 0.2481 0.5000 (multiplicity 4)
Hg1 0.0000 0.5000 0.2537 (multiplicity 4)
Hg2 0.2500 0.2500 0.2529 (multiplicity 8)

=====

Entry 15:
Density functional theory data (PBE-GGA) for a relaxed structure of Mn2BOsS.

- Energy relative to the elements, uncorrected: 1.526 eV per atom

Lattice parameters (Å, degrees): 4.9741 4.9741 4.2498 90.00 90.00 90.00
Space group P4/mmm (No. 123)
One atom of each set of equivalent atoms:
Mn1 0.0000 0.5000 0.0000 (multiplicity 2)
B1 0.0000 0.0000 0.5000 (multiplicity 1)
Os1 0.5000 0.5000 0.0000 (multiplicity 1)
S1 0.5000 0.5000 0.5000 (multiplicity 1)

=====

Entry 16:
Density functional theory data (PBE-GGA) for a relaxed structure of Th3BiC.

- Energy of formation from the pure elements: -0.322 eV per atom
- Energy above the most stable polymorph in this dataset: 77 meV per atom

Lattice parameters (Å, degrees): 5.0956 5.0956 5.0956 90.00 90.00 90.00
Space group Pm-3m (No. 221)
One atom of each set of equivalent atoms:
Th1 0.0000 0.0000 0.5000 (multiplicity 3)
Bi1 0.5000 0.5000 0.5000 (multiplicity 1)
C1 0.0000 0.0000 0.0000 (multiplicity 1)

=====

Entry 17:
Density functional theory data (PBE-GGA) for a relaxed structure of Ba3Zn8Au3.

- Energy of formation from the pure elements: -0.333 eV per atom

Lattice parameters (Å, degrees): 17.7624 4.5771 9.4929 90.00 121.93 90.00
Space group C2/m (No. 12)
One atom of each set of equivalent atoms:
Ba1 0.0000 0.0000 0.0000 (multiplicity 2)
Ba2 0.2157 0.5000 0.7038 (multiplicity 4)
Zn1 0.0061 0.5000 0.6742 (multiplicity 4)
Zn2 0.1142 0.0000 0.4032 (multiplicity 4)
Zn3 0.1226 0.0000 0.8282 (multiplicity 4)
Zn4 0.1507 0.5000 0.9952 (multiplicity 4)
Au1 0.0000 0.0000 0.5000 (multiplicity 2)
Au2 0.1362 0.5000 0.2768 (multiplicity 4)

=====

Entry 18:
Density functional theory data (PBE-GGA) for a relaxed structure of Tc2OsCl.

- Energy relative to the elements, uncorrected: 0.603 eV per atom
- Energy above the most stable polymorph in this dataset: 317 meV per atom

Lattice parameters (Å, degrees): 9.9059 2.8331 4.3611 90.00 92.50 90.00
Space group Cm (No. 8)
One atom of each set of equivalent atoms:
Tc1 0.0000 0.0000 0.0000 (multiplicity 2)
Tc2 0.1964 0.5000 0.2959 (multiplicity 2)
Os1 0.4265 0.0000 0.4568 (multiplicity 2)
Cl1 0.2108 0.0000 0.7452 (multiplicity 2)

=====

Entry 19:
Density functional theory data (PBE-GGA) for a relaxed structure of CaAcPrDy.

- Energy of formation from the pure elements: 0.101 eV per atom
- Energy above the most stable polymorph in this dataset: 41 meV per atom

Lattice parameters (Å, degrees): 8.4779 8.4779 8.4779 90.00 90.00 90.00
Space group F-43m (No. 216)
One atom of each set of equivalent atoms:
Ca1 0.0000 0.0000 0.0000 (multiplicity 4)
Ac1 0.2500 0.2500 0.7500 (multiplicity 4)
Pr1 0.2500 0.2500 0.2500 (multiplicity 4)
Dy1 0.0000 0.0000 0.5000 (multiplicity 4)

=====

Entry 20:
Density functional theory data (PBE-GGA) for a relaxed structure of La2Y.

- Energy of formation from the pure elements: 0.253 eV per atom
- Energy above the most stable polymorph in this dataset: 238 meV per atom

Lattice parameters (Å, degrees): 4.1694 4.1694 25.2362 90.00 90.00 90.00
Space group I4_1/amd (No. 141, origin choice 2)
One atom of each set of equivalent atoms:
La1 0.0000 0.2500 0.2979 (multiplicity 8)
Y1 0.0000 0.2500 0.8750 (multiplicity 4)

=====

Entry 21:
Density functional theory data (PBE-GGA) for a relaxed structure of CoIrSeN2.

- Energy relative to the elements, uncorrected: 0.990 eV per atom
- Energy above the most stable polymorph in this dataset: 0 meV per atom

Lattice parameters (Å, degrees): 3.7287 3.7287 5.7056 90.00 90.00 90.00
Space group P4/mmm (No. 123)
One atom of each set of equivalent atoms:
Co1 0.0000 0.0000 0.0000 (multiplicity 1)
Ir1 0.5000 0.5000 0.5000 (multiplicity 1)
Se1 0.5000 0.5000 0.0000 (multiplicity 1)
N1 0.0000 0.5000 0.5000 (multiplicity 2)